Entry 1:
Density functional theory data (GGA-PBE) for a geometry-optimized HfOs structure.

a = 3.2500 Å, b = 3.2500 Å, c = 3.2500 Å
α = 90.00°, β = 90.00°, γ = 90.00°
Closest atoms and distances in Å follow each position.
Space group Pm-3m (No. 221)
Unique sites:
Hf1 0.0000 0.0000 0.0000  8 Os 2.81
Os1 0.5000 0.5000 0.5000  8 Hf 2.81

ΔH_f (0 K) (meV/atom): -708.2



Entry 2:
Density functional theory data (GGA-PBE) for a geometry-optimized HfPOs structure.

a = 6.8267 Å, b = 6.8267 Å, c = 3.5980 Å
α = 90.00°, β = 90.00°, γ = 120.00°
Closest atoms and distances in Å follow each position.
Space group P-62m (No. 189)
Unique sites:
Hf1 0.0000 0.6058 0.0000  5 Os 2.69-2.76, 6 P 2.93-2.98
P1 0.0000 0.2674 0.5000  4 Os 2.53-2.56
Os1 0.0000 0.0000 0.0000  6 P 2.56, 3 Hf 2.69
Os2 0.3333 0.6667 0.5000  3 P 2.53, 6 Hf 2.76

DFT total energy (eV/f.u.): -28.29



Entry 3:
Density functional theory data (GGA-PBE) for a geometry-optimized HfPOs structure.

a = 6.4121 Å, b = 6.4121 Å, c = 3.8409 Å
α = 90.00°, β = 90.00°, γ = 120.00°
Closest atoms and distances in Å follow each position.
Space group P-62m (No. 189)
Unique sites:
Hf1 0.0000 0.5825 0.0000  5 P 2.68-2.72, 2 Os 2.88
P1 0.0000 0.0000 0.0000  6 Os 2.49, 3 Hf 2.68
P2 0.3333 0.6667 0.5000  3 Os 2.46, 6 Hf 2.72
Os1 0.0000 0.2482 0.5000  4 P 2.46-2.49

DFT total energy (eV/f.u.): -29.25



Entry 4:
Density functional theory data (GGA-PBE) for a geometry-optimized HfPOs structure.

a = 7.2631 Å, b = 7.2631 Å, c = 3.0983 Å
α = 90.00°, β = 90.00°, γ = 120.00°
Closest atoms and distances in Å follow each position.
Space group P-62m (No. 189)
Unique sites:
Hf1 0.0000 0.2874 0.0000  4 P 2.60, 6 Os 2.91
P1 0.0000 0.0000 0.5000  6 Hf 2.60, 3 Os 2.72
P2 0.3333 0.6667 0.0000  3 Hf 2.60, 6 Os 2.76
Os1 0.0000 0.6261 0.5000  5 P 2.72-2.76, 6 Hf 2.91

DFT total energy (eV/f.u.): -27.36



Entry 5:
Density functional theory data (GGA-PBE) for a geometry-optimized HfPOs structure.

a = 4.1165 Å, b = 4.1165 Å, c = 6.5379 Å
α = 90.00°, β = 90.00°, γ = 120.00°
Closest atoms and distances in Å follow each position.
Space group P6_3mc (No. 186)
Unique sites:
Hf1 0.0000 0.0000 0.0000  3 Os 2.72, 6 P 2.76-3.02
P1 0.3333 0.6667 0.2150  3 Os 2.44
Os1 0.3333 0.6667 0.7973  3 P 2.44, 3 Hf 2.72

DFT total energy (eV/f.u.): -28.23



Entry 6:
Density functional theory data (GGA-PBE) for a geometry-optimized HfPaOs structure.

a = 6.4478 Å, b = 6.4478 Å, c = 6.4478 Å
α = 90.00°, β = 90.00°, γ = 90.00°
Closest atoms and distances in Å follow each position.
Space group F-43m (No. 216)
Unique sites:
Hf1 0.0000 0.0000 0.0000  4 Pa 2.79
Pa1 0.2500 0.2500 0.2500  4 Hf 2.79, 4 Os 2.79
Os1 0.0000 0.0000 0.5000  4 Pa 2.79

ΔH_f (0 K) (meV/atom): 635.0
Energy above the lowest structure with this stoichiometry (meV/atom): 677



no.,total moment (μB/cell)
1,0.00
2,0.01
3,0.00
4,0.01
5,0.00
6,0.10